No. 1
A relaxed structure of Si2PRh. Source: Alexandria, functional PBE.

abc: 2.871 2.871 6.775
angles: 90.00 90.00 90.00
Fractional coordinates of all 4 atoms:
Rh1 0.500 0.500 0.751
Si1 0.000 0.000 0.986
Si2 0.500 0.500 0.248
P1 0.000 0.000 0.514

magnetization	0.000	μB per atom
uncorrected energy	-23.42	eV/cell
formation energy (no corrections)	0.048	eV/atom

No. 2
A relaxed structure of Si2PRh. Source: Alexandria, functional PBE.

abc: 4.153 4.153 5.550
angles: 66.94 66.94 44.98
Fractional coordinates of all 4 atoms:
P1 0.452 0.452 0.450
Si1 0.799 0.799 0.801
Si2 0.009 0.009 0.027
Rh1 0.240 0.240 0.222

magnetization	0.000	μB per atom
uncorrected energy	-23.99	eV/cell
formation energy (no corrections)	-0.095	eV/atom

No. 3
A relaxed structure of Si3PRh. Source: Alexandria, functional PBE.

abc: 4.382 4.382 4.382
angles: 90.00 90.00 90.00
Fractional coordinates of all 5 atoms:
Rh1 0.500 0.500 0.500
P1 0.000 0.000 0.000
Si1 0.000 0.500 0.000
Si2 0.000 0.000 0.500
Si3 0.500 0.000 0.000

magnetization	0.000	μB per atom
uncorrected energy	-24.81	eV/cell
formation energy (no corrections)	0.844	eV/atom
excess energy over the best structure of this formula in the dataset	373	meV/atom

No. 4
A relaxed structure of Si4PRh. Source: Alexandria, functional PBE.

abc: 5.008 5.008 5.008
angles: 60.00 60.00 60.00
Fractional coordinates of all 6 atoms:
P1 0.750 0.750 0.750
Si1 0.375 0.375 0.375
Si2 0.375 0.375 0.874
Si3 0.874 0.375 0.375
Si4 0.375 0.874 0.375
Rh1 0.000 0.000 0.000

magnetization	0.000	μB per atom
uncorrected energy	-30.93	eV/cell
formation energy (no corrections)	0.587	eV/atom

No. 5
A relaxed structure of Si2PRh. Source: Alexandria, functional PBE.

abc: 10.226 10.226 3.391
angles: 90.00 90.00 159.43
Fractional coordinates of all 8 atoms:
Si1 0.546 0.454 0.750
Si2 0.246 0.754 0.750
Si3 0.754 0.246 0.250
Si4 0.454 0.546 0.250
P1 0.913 0.087 0.750
P2 0.087 0.913 0.250
Rh1 0.328 0.672 0.250
Rh2 0.672 0.328 0.750

magnetization	0.000	μB per atom
uncorrected energy	-47.33	eV/cell
formation energy (no corrections)	-0.015	eV/atom

No. 6
A relaxed structure of Si2PRh. Source: Alexandria, functional PBE.

abc: 4.843 3.832 4.696
angles: 71.12 62.76 110.58
Fractional coordinates of all 4 atoms:
Rh1 0.500 0.500 0.000
Si1 0.000 0.000 0.000
Si2 0.500 0.000 0.500
P1 0.000 0.500 0.500

magnetization	0.000	μB per atom
uncorrected energy	-23.63	eV/cell
formation energy (no corrections)	-0.007	eV/atom

No. 7
A relaxed structure of Si2PRh. Source: Alexandria, functional PBE.

abc: 4.635 4.635 4.635
angles: 137.13 120.85 75.78
Fractional coordinates of all 4 atoms:
Rh1 0.250 0.750 0.500
Si1 0.515 0.515 0.000
Si2 0.985 0.985 0.000
P1 0.750 0.250 0.500

magnetization	0.000	μB per atom
uncorrected energy	-23.25	eV/cell
formation energy (no corrections)	0.089	eV/atom

No. 8
A relaxed structure of Si2PRh. Source: Alexandria, functional PBE.

abc: 4.157 4.317 4.318
angles: 57.32 90.00 90.00
Fractional coordinates of all 4 atoms:
Rh1 0.500 0.708 0.709
Si1 0.000 0.888 0.888
Si2 0.500 0.361 0.361
P1 0.000 0.543 0.543

magnetization	0.000	μB per atom
uncorrected energy	-24.69	eV/cell
formation energy (no corrections)	-0.270	eV/atom

Q: What is the formation energy (no corrections) in the seventh record?
A: 0.089 eV/atom

Q: Which of these has the highest uncorrected energy?
A: number 7